Density functional theory data (PBE+U) for a relaxed structure of Cs2LaCoO4.

Its total magnetic moment is 3.97 μB per formula unit. Its uncorrected energy is -5.573 eV per atom.

Cell: 6.022 13.099 24.698 Å, 90.00 90.00 90.00°
Space group Fddd (No. 70, origin choice 2)
Inequivalent atoms, fractional coordinates:
Cs 0.125 0.125 0.316 x16
La 0.125 0.125 0.125 x8
Co 0.125 0.125 0.625 x8
O 0.085 0.286 0.843 x32